[1]
## NaAc3Hg4 (PBE)

Data for a relaxed NaAc3Hg4 crystal.

Output
formation enthalpy at 0 K	-0.43	eV per atom

Lattice parameters (Å, degrees): 5.618 5.618 8.003 90.00 90.00 90.00
Fractional coordinates of all 8 atoms:
Na: 0.000 0.000 0.000
Ac: 0.000 0.000 0.500
Ac: 0.500 0.500 0.000
Ac: 0.500 0.500 0.500
Hg: 0.000 0.500 0.244
Hg: 0.000 0.500 0.756
Hg: 0.500 0.000 0.244
Hg: 0.500 0.000 0.756

***

[2]
## NbReTc (PBE)

Data for a relaxed NbReTc crystal.

Output
formation enthalpy at 0 K	-0.02	eV per atom
energy above the lowest structure with this stoichiometry	0.0283	eV per atom

Lattice parameters (Å, degrees): 9.514 4.433 5.568 90.00 125.78 90.00
Fractional coordinates of all 12 atoms:
Nb: 0.001 0.000 0.248
Nb: 0.499 0.500 0.752
Nb: 0.501 0.500 0.248
Nb: 0.999 0.000 0.752
Re: 0.163 0.500 0.577
Re: 0.337 0.000 0.423
Re: 0.663 0.000 0.577
Re: 0.837 0.500 0.423
Tc: 0.171 0.500 0.084
Tc: 0.329 0.000 0.916
Tc: 0.671 0.000 0.084
Tc: 0.829 0.500 0.916

***

[3]
## YTaTl (PBE)

Data for a relaxed YTaTl crystal.

Output
formation enthalpy at 0 K	0.29	eV per atom
energy above the lowest structure with this stoichiometry	0.0428	eV per atom

Lattice parameters (Å, degrees): 3.328 3.981 10.740 90.00 90.00 90.00
Fractional coordinates of all 6 atoms:
Y: 0.000 0.000 0.000
Y: 0.500 0.500 0.500
Ta: 0.000 0.000 0.326
Ta: 0.500 0.500 0.826
Tl: 0.000 0.000 0.685
Tl: 0.500 0.500 0.185

***

[4]
## SrZnC (PBE)

Data for a relaxed SrZnC crystal.

Output
formation enthalpy at 0 K	-0.06	eV per atom

Lattice parameters (Å, degrees): 4.207 4.321 8.822 87.67 76.50 62.83
Fractional coordinates of all 6 atoms:
Sr: 0.162 0.458 0.212
Sr: 0.838 0.542 0.788
Zn: 0.332 0.828 0.498
Zn: 0.668 0.172 0.502
C: 0.107 0.866 0.953
C: 0.893 0.134 0.047

***

[5]
## ZnSiBr2 (PBE)

Data for a relaxed ZnSiBr2 crystal.

Output
energy above the lowest structure with this stoichiometry	0.0000	eV per atom

Lattice parameters (Å, degrees): 3.528 3.528 8.826 90.00 90.00 90.00
Fractional coordinates of all 4 atoms:
Zn: 0.000 0.000 0.000
Si: 0.500 0.500 0.106
Br: 0.000 0.000 0.736
Br: 0.500 0.500 0.358

***

[6]
## Ac3CdNi8 (PBE)

Data for a relaxed Ac3CdNi8 crystal.

Output
formation enthalpy at 0 K	-0.17	eV per atom

Lattice parameters (Å, degrees): 9.179 9.179 9.179 33.20 33.20 33.20
Fractional coordinates of all 12 atoms:
Ac: 0.000 0.000 0.000
Ac: 0.128 0.128 0.128
Ac: 0.514 0.514 0.514
Cd: 0.636 0.636 0.636
Ni: 0.064 0.568 0.568
Ni: 0.072 0.072 0.566
Ni: 0.072 0.566 0.072
Ni: 0.317 0.317 0.317
Ni: 0.566 0.072 0.072
Ni: 0.568 0.064 0.568
Ni: 0.568 0.568 0.064
Ni: 0.819 0.819 0.819

***

[7]
## LiYGa2Pd (PBE)

Data for a relaxed LiYGa2Pd crystal.

Output
formation enthalpy at 0 K	-0.61	eV per atom

Lattice parameters (Å, degrees): 4.001 4.001 11.539 90.00 90.00 90.00
Fractional coordinates of all 10 atoms:
Li: 0.000 0.000 0.000
Li: 0.500 0.500 0.500
Y: 0.000 0.500 0.250
Y: 0.500 0.000 0.750
Ga: 0.000 0.500 0.638
Ga: 0.000 0.500 0.862
Ga: 0.500 0.000 0.138
Ga: 0.500 0.000 0.362
Pd: 0.000 0.000 0.500
Pd: 0.500 0.500 0.000

***

[8]
## ScNb2CrPd (PBE)

Data for a relaxed ScNb2CrPd crystal.

Output
formation enthalpy at 0 K	1.65	eV per atom

Lattice parameters (Å, degrees): 4.755 4.755 4.173 90.00 90.00 90.00
Fractional coordinates of all 5 atoms:
Sc: 0.000 0.000 0.000
Nb: 0.000 0.500 0.000
Nb: 0.500 0.000 0.000
Cr: 0.000 0.000 0.500
Pd: 0.500 0.500 0.500

***

no.,DOS at the Fermi energy (states/eV/f.u.)
1,6.0
2,3.0
3,1.8
4,1.4
5,2.0
6,8.1
7,3.6
8,11.0